Entry 1:
A PBEsol-optimized structure of CoRh3. Source: Alexandria via LeMat-Bulk, functional SCAN.

abc: 2.639 2.639 8.609
angles: 81.18 81.18 60.00
Last column: magnetic moment on the atom in μB.
Sites, in units of the cell vectors:
Rh: 0.253 0.253 0.240  0.30
Rh: 0.500 0.500 0.500  -0.14
Rh: 0.747 0.747 0.760  0.30
Co: 0.000 0.000 0.000  2.05

Summary:
DOS(E_F): 1.140 states/eV/atom
spin magnetization: 2.45 μB/cell
E: -118.43 eV/cell
calculated density: 11.9 g cm⁻³



Entry 2:
A PBEsol-optimized structure of Co3Rh. Source: Alexandria via LeMat-Bulk, functional SCAN.

abc: 2.544 2.544 8.263
angles: 81.14 81.14 60.00
Last column: magnetic moment on the atom in μB.
Sites, in units of the cell vectors:
Rh: 0.000 0.000 0.000  0.61
Co: 0.246 0.246 0.262  1.96
Co: 0.500 0.500 0.500  1.87
Co: 0.754 0.754 0.738  1.96

Summary:
DOS(E_F): 0.890 states/eV/atom
spin magnetization: 6.28 μB/cell
E: -85.41 eV/cell
calculated density: 10.2 g cm⁻³



Entry 3:
A PBEsol-optimized structure of Co2Rh. Source: Alexandria via LeMat-Bulk, functional SCAN.

abc: 2.552 4.152 4.152
angles: 90.00 90.00 90.00
Last column: magnetic moment on the atom in μB.
Sites, in units of the cell vectors:
Co: 0.500 0.000 0.500  2.16
Co: 0.500 0.500 0.000  2.16
Rh: 0.000 0.000 0.000  0.70

Summary:
DOS(E_F): 0.759 states/eV/atom
spin magnetization: 4.93 μB/cell
E: -66.75 eV/cell
calculated density: 8.3 g cm⁻³